Record 1
VASP calculation (PBE) on NaEuP after structural relaxation.

```
3
Lattice="4.484 0.000 0.000 0.000 4.573 0.000 0.000 -2.286 3.960" Properties=species:S:1:pos:R:3 pbc="T T T"
P 4.329 0.000 0.000
Na 3.445 2.287 1.320
Eu 1.195 0.000 2.640
```

Computed properties:
The symmetry is P3m1, No. 156. The value obtained for the total magnetization is 7.00 μB per formula unit. For the energy relative to the elements, the calculation gives -0.573 eV/atom. The calculation puts the mass density at 4.211 g cm⁻³.

Record 2
VASP calculation (PBE) on Na4Eu2P4Pb after structural relaxation.

```
22
Lattice="-0.340 7.251 -6.310 0.389 -9.088 -3.124 -7.262 -0.379 -0.281" Properties=species:S:1:pos:R:3 pbc="T T T"
Eu -4.558 -1.530 -4.724
Eu -4.231 -5.399 -6.070
Eu -0.945 2.535 -7.440
Eu -0.962 -0.561 -4.736
P -6.142 -3.104 -6.752
P -3.057 0.829 -3.015
P -6.555 -2.347 -2.573
P -2.561 -3.624 -4.386
P -3.020 4.093 -5.748
P -6.419 1.292 -5.521
P -6.193 -6.382 -3.883
P -2.641 -0.004 -7.179
Pb -3.780 1.630 -5.478
Pb 0.097 -3.693 -4.263
Na -4.344 -4.535 -2.318
Na -1.814 -2.782 -7.275
Na -6.006 0.480 -2.380
Na -2.271 -1.661 -1.785
Na -5.934 4.658 -6.135
Na -1.047 3.134 -3.636
Na -1.778 -6.920 -3.701
Na -5.555 -0.504 -7.896
```

Computed properties:
The symmetry is Cc, No. 9. The value obtained for the total magnetization is 0.02 μB per formula unit. For the energy relative to the elements, the calculation gives -0.520 eV/atom. The calculation puts the mass density at 4.147 g cm⁻³.

Record 3
VASP calculation (PBE) on Na4Eu2SnP4 after structural relaxation.

```
22
Lattice="-4.968 -5.119 -6.317 3.240 -4.103 7.966 -6.182 1.495 3.446" Properties=species:S:1:pos:R:3 pbc="T T T"
Na -5.096 -4.607 -3.555
Na -1.659 -5.643 5.754
Na -4.990 -6.247 4.671
Na -2.324 -3.133 8.370
Na -8.537 -5.364 0.888
Na -3.069 -7.139 0.913
Na -2.430 -1.674 0.063
Na -4.271 -0.772 3.962
Eu -7.935 -1.626 0.143
Eu -0.942 -1.891 5.209
Eu -2.968 -4.108 2.481
Eu -6.475 -3.411 3.481
Sn -5.634 -2.884 6.643
Sn -5.297 -3.973 0.127
P -0.558 -2.324 2.209
P -5.132 -1.760 1.351
P -3.517 -3.440 5.303
P -5.628 -5.849 1.877
P 1.020 -4.197 5.654
P -3.040 -4.511 -0.970
P -1.010 -6.408 2.810
P -7.185 -4.082 -1.522
```

Computed properties:
The symmetry is Cc, No. 9. The value obtained for the total magnetization is 0.02 μB per formula unit. For the energy relative to the elements, the calculation gives -0.613 eV/atom. The calculation puts the mass density at 3.731 g cm⁻³.

Record 4
VASP calculation (PBE) on NaEuPb2 after structural relaxation.

```
4
Lattice="4.647 0.000 0.000 0.000 5.063 0.000 0.000 0.000 5.063" Properties=species:S:1:pos:R:3 pbc="T T T"
Pb 0.000 2.531 0.000
Pb 0.000 0.000 2.531
Eu 2.324 2.531 2.531
Na 2.324 0.000 0.000
```

Computed properties:
Its offset from the most stable computed form is 0.000 eV/atom. The symmetry is P4/mmm, No. 123. The value obtained for the total magnetization is 7.01 μB per formula unit. For the energy relative to the elements, the calculation gives -0.352 eV/atom. The calculation puts the mass density at 8.215 g cm⁻³.

Record 5
VASP calculation (PBE) on NaEuPb after structural relaxation.

```
3
Lattice="-4.205 -0.357 0.557 -0.459 -1.012 -4.109 2.934 -4.515 2.990" Properties=species:S:1:pos:R:3 pbc="T T T"
Pb 0.333 -2.879 0.672
Na -2.174 -2.043 -1.459
Eu -1.799 -5.288 -0.701
```

Computed properties:
Its offset from the most stable computed form is 0.046 eV/atom. The symmetry is I4mm, No. 107. The value obtained for the total magnetization is 7.29 μB per formula unit. For the energy relative to the elements, the calculation gives -0.245 eV/atom. The calculation puts the mass density at 6.518 g cm⁻³.

Record 6
VASP calculation (PBE) on NaEuPb after structural relaxation.

```
3
Lattice="-2.041 -0.045 5.053 -3.864 -3.600 1.347 1.168 -4.117 3.374" Properties=species:S:1:pos:R:3 pbc="T T T"
Na -2.368 -3.881 4.887
Eu 0.000 0.000 0.000
Pb -1.184 -1.940 2.444
```

Computed properties:
Its offset from the most stable computed form is 0.126 eV/atom. The symmetry is F-43m, No. 216. The value obtained for the total magnetization is 7.53 μB per formula unit. For the energy relative to the elements, the calculation gives -0.166 eV/atom. The calculation puts the mass density at 5.544 g cm⁻³.

Record 7
VASP calculation (PBE) on NaEuPb2 after structural relaxation.

```
4
Lattice="-1.537 4.245 3.248 0.544 -0.384 5.522 3.854 3.025 2.632" Properties=species:S:1:pos:R:3 pbc="T T T"
Eu 1.430 3.443 5.701
Na 0.000 0.000 0.000
Pb 2.145 5.164 8.551
Pb 0.715 1.721 2.850
```

Computed properties:
Its offset from the most stable computed form is 0.017 eV/atom. The symmetry is Fm-3m, No. 225. The value obtained for the total magnetization is 6.96 μB per formula unit. For the energy relative to the elements, the calculation gives -0.335 eV/atom. The calculation puts the mass density at 8.045 g cm⁻³.

Record 8
VASP calculation (PBE) on NaEuPb2 after structural relaxation.

```
4
Lattice="-2.284 -2.944 -1.238 1.483 0.371 -3.617 5.611 -5.100 1.778" Properties=species:S:1:pos:R:3 pbc="T T T"
Eu 2.405 -3.837 -1.539
Na -0.400 -1.287 -2.427
Pb 1.288 -1.171 0.408
Pb 4.323 -3.930 1.369
```

Computed properties:
Its offset from the most stable computed form is 0.025 eV/atom. The symmetry is P4/mmm, No. 123. The value obtained for the total magnetization is 7.10 μB per formula unit. For the energy relative to the elements, the calculation gives -0.327 eV/atom. The calculation puts the mass density at 8.151 g cm⁻³.

Record 9
VASP calculation (PBE) on NaEuPb2 after structural relaxation.

```
4
Lattice="-2.262 2.617 -1.129 -3.119 -0.880 -1.656 -6.875 0.366 8.754" Properties=species:S:1:pos:R:3 pbc="T T T"
Pb -3.031 0.527 1.430
Pb -9.224 1.577 4.539
Na 0.000 0.000 0.000
Eu -6.127 1.052 2.984
```

Computed properties:
Its offset from the most stable computed form is 0.153 eV/atom. The symmetry is R-3m, No. 166. The value obtained for the total magnetization is 7.38 μB per formula unit. For the energy relative to the elements, the calculation gives -0.199 eV/atom. The calculation puts the mass density at 7.803 g cm⁻³.

Record 10
VASP calculation (PBE) on NaEuPb after structural relaxation.

```
3
Lattice="-2.116 1.754 2.494 -4.345 -0.719 -3.181 1.289 -3.740 3.724" Properties=species:S:1:pos:R:3 pbc="T T T"
Pb -4.234 -0.262 1.203
Na -1.760 1.459 2.074
Eu -1.295 -2.148 2.254
```

Computed properties:
Its offset from the most stable computed form is 0.000 eV/atom. The symmetry is P3m1, No. 156. The value obtained for the total magnetization is 7.10 μB per formula unit. For the energy relative to the elements, the calculation gives -0.291 eV/atom. The calculation puts the mass density at 6.688 g cm⁻³.

Record 11
VASP calculation (PBE) on NaEuScPb after structural relaxation.

```
4
Lattice="5.413 0.000 0.000 2.707 4.688 0.000 2.707 1.563 4.420" Properties=species:S:1:pos:R:3 pbc="T T T"
Sc 8.120 4.688 3.315
Pb 5.413 3.125 2.210
Eu 2.707 1.563 1.105
Na 0.000 0.000 0.000
```

Computed properties:
The symmetry is F-43m, No. 216. The value obtained for the total magnetization is 7.85 μB per formula unit. For the energy relative to the elements, the calculation gives -0.150 eV/atom. The calculation puts the mass density at 6.323 g cm⁻³.

Record 12
VASP calculation (PBE) on NaSrEuPb after structural relaxation.

```
4
Lattice="-2.352 -4.800 2.298 1.428 -1.643 5.396 -3.893 0.440 4.301" Properties=species:S:1:pos:R:3 pbc="T T T"
Eu -2.409 -3.001 5.997
Sr 0.000 0.000 0.000
Pb -3.613 -4.502 8.996
Na -1.204 -1.501 2.999
```

Computed properties:
The symmetry is F-43m, No. 216. The value obtained for the total magnetization is 7.17 μB per formula unit. For the energy relative to the elements, the calculation gives -0.336 eV/atom. The calculation puts the mass density at 5.601 g cm⁻³.